! TiNi2Ir PBE relaxed; values from VASP
! DFT total energy: -7.393 eV/atom
! Formation energy: -0.313 eV/atom
! Space group: Fm-3m, No. 225
! Size of the total moment: 0.00 μB per formula unit
&SYSTEM
  ibrav = 0, nat = 4, ntyp = 3
/
ATOMIC_SPECIES
Ti 47.87 Ti.upf
Ir 192.22 Ir.upf
Ni 58.69 Ni.upf
ATOMIC_POSITIONS crystal
Ti 0.0000 0.0000 0.0000
Ir 0.5000 0.5000 0.5000
Ni 0.7500 0.7500 0.7500
Ni 0.2500 0.2500 0.2500
CELL_PARAMETERS angstrom
0.0000 2.9621 2.9621
2.9621 0.0000 2.9621
2.9621 2.9621 0.0000